Material: BaGe6Se8
Method: DFT, PBE
State: optimized geometry

Properties
Density of states at the Fermi level = 8.6 states/eV/cell
Total moment = 0.0 μB/f.u.
Uncorrected formation energy = -0.38 eV per atom
Mass density = 4.7 g cm⁻³

a = 7.571 Å, b = 7.571 Å, c = 7.571 Å
α = 84.54°, β = 84.54°, γ = 84.54°
Atoms (fractional coordinates):
Se1 0.379 0.117 0.770
Se2 0.724 0.724 0.724
Se3 0.883 0.230 0.621
Se4 0.276 0.276 0.276
Se5 0.230 0.621 0.883
Se6 0.621 0.883 0.230
Se7 0.117 0.770 0.379
Se8 0.770 0.379 0.117
Ge1 0.640 0.401 0.820
Ge2 0.180 0.360 0.599
Ge3 0.599 0.180 0.360
Ge4 0.401 0.820 0.640
Ge5 0.360 0.599 0.180
Ge6 0.820 0.640 0.401
Ba1 0.000 0.000 0.000